[1]
Below is a relaxed structure of HfCd2H, with properties calculated at the PBE-GGA level.

The structure in CIF format:
```
data_HfCd2H
_chemical_formula_sum 'Hf4 Cd8 H4'
_space_group_name_H-M_alt 'I -4 2 d'
_space_group_IT_number 122
_space_group_name_Hall 'I -4 2bw'
_cell_length_a 6.297
_cell_length_b 6.297
_cell_length_c 7.538
_cell_angle_alpha 90.00
_cell_angle_beta 90.00
_cell_angle_gamma 90.00
loop_
_atom_site_label
_atom_site_fract_x
_atom_site_fract_y
_atom_site_fract_z
_atom_site_occupancy
Hf1 0.000 0.000 0.000 1
Cd1 0.129 0.250 0.625 1
H1 0.000 0.000 0.500 1
```

Computed properties:
electronic total energy: -51.93 eV/cell
M_tot: 0.154 μB/atom

---

[2]
Below is a relaxed structure of Cs5Na2Ag, with properties calculated at the PBE-GGA level.

The structure in CIF format:
```
data_Cs5Na2Ag
_chemical_formula_sum 'Cs10 Na4 Ag2'
_space_group_name_H-M_alt 'P b a m'
_space_group_IT_number 55
_cell_length_a 9.595
_cell_length_b 17.639
_cell_length_c 6.833
_cell_angle_alpha 90.00
_cell_angle_beta 90.00
_cell_angle_gamma 90.00
loop_
_space_group_symop_operation_xyz
'x,y,z'
'-x,-y,-z'
'-x,-y,z'
'x,y,-z'
'x+1/2,-y+1/2,-z'
'-x+1/2,y+1/2,z'
'-x+1/2,y+1/2,-z'
'x+1/2,-y+1/2,z'
loop_
_atom_site_label
_atom_site_fract_x
_atom_site_fract_y
_atom_site_fract_z
_atom_site_occupancy
Cs1 0.000 0.000 0.000 1
Cs2 0.116 0.295 0.000 1
Cs3 0.168 0.584 0.500 1
Na1 0.118 0.843 0.500 1
Ag1 0.000 0.500 0.000 1
```

Computed properties:
electronic total energy: -18.93 eV/cell
M_tot: 0.000 μB/atom

---

[3]
Below is a relaxed structure of Ca2AgAs, with properties calculated at the PBE-GGA level.

The structure in CIF format:
```
data_Ca2AgAs
_chemical_formula_sum 'Ca4 Ag2 As2'
_space_group_name_H-M_alt 'A m m 2'
_space_group_IT_number 38
_cell_length_a 4.433
_cell_length_b 4.156
_cell_length_c 11.149
_cell_angle_alpha 90.00
_cell_angle_beta 90.00
_cell_angle_gamma 90.00
loop_
_space_group_symop_operation_xyz
'x,y,z'
'-x,-y,z'
'-x,y,z'
'x,-y,z'
'x,y+1/2,z+1/2'
'-x,-y+1/2,z+1/2'
'-x,y+1/2,z+1/2'
'x,-y+1/2,z+1/2'
loop_
_atom_site_label
_atom_site_fract_x
_atom_site_fract_y
_atom_site_fract_z
_atom_site_occupancy
Ca1 0.000 0.000 0.000 1
Ca2 0.500 0.000 0.279 1
Ag1 0.500 0.000 0.564 1
As1 0.000 0.000 0.723 1
```

Computed properties:
electronic total energy: -28.90 eV/cell
M_tot: 0.000 μB/atom

---

[4]
Below is a relaxed structure of PtC2, with properties calculated at the PBE-GGA level.

The structure in CIF format:
```
data_PtC2
_chemical_formula_sum 'Pt3 C6'
_space_group_name_H-M_alt 'R -3 m'
_space_group_IT_number 166
_space_group_name_Hall '-R 3 2"'
_cell_length_a 3.6967
_cell_length_b 3.6967
_cell_length_c 7.9085
_cell_angle_alpha 90.00
_cell_angle_beta 90.00
_cell_angle_gamma 120.00
loop_
_atom_site_label
_atom_site_fract_x
_atom_site_fract_y
_atom_site_fract_z
_atom_site_occupancy
Pt1 0.0000 0.0000 0.0000 1
C1 0.0000 0.0000 0.2719 1
```

Computed properties:
electronic total energy: -55.80 eV/cell
M_tot: 0.000 μB/atom

---

[5]
Below is a relaxed structure of Pt2AuBr, with properties calculated at the PBE-GGA level.

The structure in CIF format:
```
data_Pt2AuBr
_chemical_formula_sum 'Pt2 Au1 Br1'
_space_group_name_H-M_alt 'P m m m'
_space_group_IT_number 47
_cell_length_a 2.865
_cell_length_b 4.893
_cell_length_c 5.155
_cell_angle_alpha 90.00
_cell_angle_beta 90.00
_cell_angle_gamma 90.00
loop_
_space_group_symop_operation_xyz
'x,y,z'
'-x,-y,-z'
'-x,-y,z'
'x,y,-z'
'x,-y,-z'
'-x,y,z'
'-x,y,-z'
'x,-y,z'
loop_
_atom_site_label
_atom_site_fract_x
_atom_site_fract_y
_atom_site_fract_z
_atom_site_occupancy
Pt1 0.000 0.000 0.000 1
Pt2 0.500 0.000 0.500 1
Au1 0.000 0.500 0.500 1
Br1 0.500 0.500 0.000 1
```

Computed properties:
raw formation energy: 0.535 eV per atom
M_tot: 0.000 μB/atom

---

[6]
Below is a relaxed structure of DyHo6Tm3, with properties calculated at the PBE-GGA level.

The structure in CIF format:
```
data_DyHo6Tm3
_chemical_formula_sum 'Dy4 Ho24 Tm12'
_space_group_name_H-M_alt 'C m c 21'
_space_group_IT_number 36
_cell_length_a 10.869
_cell_length_b 18.744
_cell_length_c 6.114
_cell_angle_alpha 90.00
_cell_angle_beta 90.00
_cell_angle_gamma 90.00
loop_
_space_group_symop_operation_xyz
'x,y,z'
'-x,-y,z+1/2'
'-x,y,z'
'x,-y,z+1/2'
'x+1/2,y+1/2,z'
'-x+1/2,-y+1/2,z+1/2'
'-x+1/2,y+1/2,z'
'x+1/2,-y+1/2,z+1/2'
loop_
_atom_site_label
_atom_site_fract_x
_atom_site_fract_y
_atom_site_fract_z
_atom_site_occupancy
Dy1 0.000 0.208 0.000 1
Ho1 0.000 0.048 0.767 1
Ho2 0.000 0.284 0.492 1
Ho3 0.164 0.454 0.380 1
Ho4 0.249 0.290 0.207 1
Tm1 0.000 0.390 0.920 1
Tm2 0.171 0.109 0.303 1
```

Computed properties:
electronic total energy: -175.93 eV/cell
M_tot: 0.000 μB/atom